Record 1
HfHgS2 (GGA-PBE, relaxed); total magnetic moment = 0.00 μB/f.u.; D(E_F) = 0.8 states/eV/f.u.
1.0
2.0690 -10.5509 0.0000
2.0690 10.5509 0.0000
0.0000 0.0000 4.5271
Hg S Hf
2 4 2
Cartesian
2.0690 3.2756 1.1318 Hg
2.0690 -3.2756 3.3953 Hg
2.0690 9.7078 3.3953 S
2.0690 6.3524 1.1318 S
2.0690 -6.3524 3.3953 S
2.0690 -9.7078 1.1318 S
2.0690 -8.6727 3.3953 Hf
2.0690 8.6727 1.1318 Hf

---

Record 2
ScInGa2H (GGA-PBE, relaxed); relative energy among the computed polymorphs = 0.0 meV/atom; total magnetic moment = 0.00 μB/f.u.; D(E_F) = 1.6 states/eV/f.u.
1.0
4.4317 0.0000 0.0000
0.0000 4.4317 0.0000
0.0000 0.0000 4.1632
H In Ga Sc
1 1 2 1
Cartesian
0.0000 0.0000 0.0000 H
2.2158 2.2158 2.0816 In
2.2158 0.0000 0.0000 Ga
0.0000 2.2158 0.0000 Ga
0.0000 0.0000 2.0816 Sc

---

Computed raw total energy (eV per atom) in order:
-5.065, -3.877